No. 1
Below is a relaxed structure of BaCuOs3, with properties calculated at the GGA-PBE level.

Results
* energy relative to the lowest polymorph listed for this composition: 0.000 eV/atom
* energy of formation: 1.829 eV per atom

Unit cell a=4.6839 b=4.6839 c=4.6839 alpha=90.00 beta=90.00 gamma=90.00
With the nearest neighbours (Å) after each atom.
Fractional coordinates of all 5 atoms:
Ba 0.0000 0.0000 0.0000  12 Os 3.31
Cu 0.5000 0.5000 0.5000  6 Os 2.34
Os 0.0000 0.5000 0.5000  2 Cu 2.34
Os 0.5000 0.0000 0.5000  2 Cu 2.34
Os 0.5000 0.5000 0.0000  2 Cu 2.34

***

No. 2
Below is a relaxed structure of Nd8Ho, with properties calculated at the GGA-PBE level.

Results
* energy of formation: 0.014 eV per atom

Unit cell a=8.1944 b=8.1944 c=8.1944 alpha=95.74 beta=95.74 gamma=143.13
With the nearest neighbours (Å) after each atom.
Fractional coordinates of all 9 atoms:
Nd 0.0000 0.3325 0.3325  1 Ho 3.66, 11 Nd 3.66-3.68
Nd 0.0000 0.6675 0.6675  1 Ho 3.66, 11 Nd 3.66-3.68
Nd 0.3325 0.0000 0.3325  1 Ho 3.66, 11 Nd 3.66-3.68
Nd 0.3343 0.3343 0.6685  10 Nd 3.64-3.69, 2 Ho 3.65
Nd 0.3343 0.6657 0.0000  10 Nd 3.64-3.69, 2 Ho 3.65
Nd 0.6657 0.3343 0.0000  10 Nd 3.64-3.69, 2 Ho 3.65
Nd 0.6657 0.6657 0.3315  10 Nd 3.64-3.69, 2 Ho 3.65
Nd 0.6675 0.0000 0.6675  1 Ho 3.66, 11 Nd 3.66-3.68
Ho 0.0000 0.0000 0.0000  12 Nd 3.65-3.66

***

No. 3
Below is a relaxed structure of Ba2SnHg, with properties calculated at the GGA-PBE level.

Results
* energy relative to the lowest polymorph listed for this composition: 0.654 eV/atom
* energy of formation: 0.018 eV per atom

Unit cell a=12.1981 b=12.1981 c=12.1981 alpha=19.71 beta=19.71 gamma=19.71
With the nearest neighbours (Å) after each atom.
Fractional coordinates of all 4 atoms:
Ba 0.0965 0.0965 0.0965  1 Sn 3.46, 3 Hg 3.48
Ba 0.9035 0.9035 0.9035  1 Sn 3.46, 3 Hg 3.48
Sn 0.0000 0.0000 0.0000  2 Ba 3.46
Hg 0.5000 0.5000 0.5000  6 Ba 3.48

***

No. 4
Below is a relaxed structure of SrInPb4, with properties calculated at the GGA-PBE level.

Results
* energy relative to the lowest polymorph listed for this composition: 0.077 eV/atom
* energy of formation: -0.137 eV per atom

Unit cell a=6.5790 b=6.5790 c=6.5790 alpha=60.00 beta=60.00 gamma=60.00
With the nearest neighbours (Å) after each atom.
Fractional coordinates of all 6 atoms:
Sr 0.0000 0.0000 0.0000  12 Pb 3.85, 4 In 4.03
In 0.7500 0.7500 0.7500  12 Pb 3.86, 4 Sr 4.03
Pb 0.3739 0.3739 0.3739  6 Pb 3.26-3.32
Pb 0.3739 0.3739 0.8784  6 Pb 3.26-3.32
Pb 0.3739 0.8784 0.3739  6 Pb 3.26-3.32
Pb 0.8784 0.3739 0.3739  6 Pb 3.26-3.32

***

No. 5
Below is a relaxed structure of Er2CoCl, with properties calculated at the GGA-PBE level.

Results
* energy relative to the lowest polymorph listed for this composition: 0.000 eV/atom
* formation energy without anion corrections: -0.85 eV/atom

Unit cell a=7.6378 b=7.6378 c=7.6378 alpha=28.61 beta=28.61 gamma=28.61
With the nearest neighbours (Å) after each atom.
Fractional coordinates of all 4 atoms:
Er 0.2327 0.2327 0.2327  3 Co 2.62
Er 0.7673 0.7673 0.7673  3 Co 2.62
Co 0.5000 0.5000 0.5000  6 Er 2.62
Cl 0.0000 0.0000 0.0000  6 Er 3.10

***

No. 6
Below is a relaxed structure of TlCd3O4, with properties calculated at the GGA-PBE level.

Results
* formation energy without anion corrections: -0.90 eV/atom

Unit cell a=7.4248 b=6.4313 c=5.9539 alpha=90.00 beta=90.00 gamma=90.00
With the nearest neighbours (Å) after each atom.
Fractional coordinates of all 16 atoms:
Tl 0.0000 0.1667 0.0000  4 O 2.29-2.30
Tl 0.5000 0.8333 0.5000  4 O 2.29-2.30
Cd 0.0000 0.8322 0.4997  4 O 2.25-2.26
Cd 0.2497 0.3335 0.5002  4 O 2.25-2.26
Cd 0.2503 0.6665 0.0002  4 O 2.25-2.26
Cd 0.5000 0.1678 0.9997  4 O 2.25-2.26
Cd 0.7503 0.3335 0.5002  4 O 2.25-2.26
Cd 0.7497 0.6665 0.0002  4 O 2.25-2.26
O 0.0000 0.1656 0.6138  3 Cd 2.25, 1 Tl 2.30
O 0.0000 0.8287 0.1206  3 Cd 2.25-2.26, 1 Tl 2.29
O 0.2469 0.6643 0.6212  3 Cd 2.25-2.26, 1 Tl 2.29
O 0.2531 0.3357 0.1212  3 Cd 2.25-2.26, 1 Tl 2.29
O 0.5000 0.1713 0.6206  3 Cd 2.25-2.26, 1 Tl 2.29
O 0.5000 0.8344 0.1138  3 Cd 2.25, 1 Tl 2.30
O 0.7469 0.3357 0.1212  3 Cd 2.25-2.26, 1 Tl 2.29
O 0.7531 0.6643 0.6212  3 Cd 2.25-2.26, 1 Tl 2.29

***

No. 7
Below is a relaxed structure of Zn2Se, with properties calculated at the GGA-PBE level.

Results
* energy relative to the lowest polymorph listed for this composition: 0.355 eV/atom
* formation energy without anion corrections: 0.16 eV/atom

Unit cell a=4.2500 b=4.2500 c=3.7399 alpha=90.00 beta=90.00 gamma=120.00
With the nearest neighbours (Å) after each atom.
Fractional coordinates of all 3 atoms:
Zn 0.3333 0.6667 0.0000  3 Zn 2.45
Zn 0.6667 0.3333 0.0000  3 Zn 2.45
Se 0.0000 0.0000 0.5000  12 Zn 3.09

***

No. 8
Below is a relaxed structure of Li5Mg6Cd2, with properties calculated at the GGA-PBE level.

Results
* energy of formation: -0.057 eV per atom

Unit cell a=10.0342 b=17.5088 c=3.1204 alpha=90.00 beta=90.00 gamma=90.00
With the nearest neighbours (Å) after each atom.
Fractional coordinates of all 26 atoms:
Li 0.0000 0.0000 0.0000  6 Mg 2.92-2.93, 4 Li 3.12-3.21
Li 0.0900 0.2734 0.0000  5 Mg 2.85-3.00, 4 Cd 2.93-3.18, 2 Li 3.12
Li 0.1950 0.5559 0.0000  6 Mg 3.03-3.16, 3 Li 3.12-3.21, 2 Cd 3.18
Li 0.3050 0.0559 0.0000  6 Mg 3.03-3.16, 3 Li 3.12-3.21, 2 Cd 3.18
Li 0.4100 0.7734 0.0000  5 Mg 2.85-3.00, 4 Cd 2.93-3.18, 2 Li 3.12
Li 0.5000 0.5000 0.0000  6 Mg 2.92-2.93, 4 Li 3.12-3.21
Li 0.5900 0.2266 0.0000  5 Mg 2.85-3.00, 4 Cd 2.93-3.18, 2 Li 3.12
Li 0.6950 0.9441 0.0000  6 Mg 3.03-3.16, 3 Li 3.12-3.21, 2 Cd 3.18
Li 0.8050 0.4441 0.0000  6 Mg 3.03-3.16, 3 Li 3.12-3.21, 2 Cd 3.18
Li 0.9100 0.7266 0.0000  5 Mg 2.85-3.00, 4 Cd 2.93-3.18, 2 Li 3.12
Mg 0.0623 0.4186 0.5000  6 Li 3.00-3.16, 5 Mg 3.11-3.14, 1 Cd 3.17
Mg 0.0839 0.1331 0.5000  6 Li 2.91-3.03, 1 Cd 2.96, 4 Mg 3.07-3.12
Mg 0.1799 0.8692 0.0000  2 Li 2.85-2.92, 6 Mg 3.07-3.14, 2 Cd 3.17
Mg 0.3201 0.3692 0.0000  2 Li 2.85-2.92, 6 Mg 3.07-3.14, 2 Cd 3.17
Mg 0.4161 0.6331 0.5000  6 Li 2.91-3.03, 1 Cd 2.96, 4 Mg 3.07-3.12
Mg 0.4377 0.9186 0.5000  6 Li 3.00-3.16, 5 Mg 3.11-3.14, 1 Cd 3.17
Mg 0.5623 0.0814 0.5000  6 Li 3.00-3.16, 5 Mg 3.11-3.14, 1 Cd 3.17
Mg 0.5839 0.3669 0.5000  6 Li 2.91-3.03, 1 Cd 2.96, 4 Mg 3.07-3.12
Mg 0.6799 0.6308 0.0000  2 Li 2.85-2.92, 6 Mg 3.07-3.14, 2 Cd 3.17
Mg 0.8201 0.1308 0.0000  2 Li 2.85-2.92, 6 Mg 3.07-3.14, 2 Cd 3.17
Mg 0.9161 0.8669 0.5000  6 Li 2.91-3.03, 1 Cd 2.96, 4 Mg 3.07-3.12
Mg 0.9377 0.5814 0.5000  6 Li 3.00-3.16, 5 Mg 3.11-3.14, 1 Cd 3.17
Cd 0.1557 0.7124 0.5000  6 Li 2.93-3.18, 4 Mg 2.96-3.17, 2 Cd 3.12
Cd 0.3443 0.2124 0.5000  6 Li 2.93-3.18, 4 Mg 2.96-3.17, 2 Cd 3.12
Cd 0.6557 0.7876 0.5000  6 Li 2.93-3.18, 4 Mg 2.96-3.17, 2 Cd 3.12
Cd 0.8443 0.2876 0.5000  6 Li 2.93-3.18, 4 Mg 2.96-3.17, 2 Cd 3.12

***

No. 9
Below is a relaxed structure of Be2AlB, with properties calculated at the GGA-PBE level.

Results
* energy relative to the lowest polymorph listed for this composition: 0.112 eV/atom
* energy of formation: 0.133 eV per atom

Unit cell a=4.7643 b=4.7643 c=6.8596 alpha=122.49 beta=122.49 gamma=41.06
With the nearest neighbours (Å) after each atom.
Fractional coordinates of all 8 atoms:
Be 0.0000 0.0000 0.0000  3 B 1.98-1.99, 2 Be 2.09
Be 0.0996 0.0996 0.4507  1 B 1.91
Be 0.3867 0.3867 0.7369  1 B 1.99, 1 Be 2.16
Be 0.5008 0.5008 0.1845  3 B 1.92-2.00, 2 Be 2.09
Al 0.3136 0.3136 0.3275  4 B 2.26-2.36, 4 Be 2.37-2.49
Al 0.6777 0.6777 0.7552  2 B 2.22-2.23, 3 Be 2.36-2.44
B 0.6338 0.6338 0.0427  1 B 1.74, 1 Be 1.92
B 0.8648 0.8648 0.1518  1 B 1.74, 1 Be 1.91

***

No. 10
Below is a relaxed structure of NbTeBr, with properties calculated at the GGA-PBE level.

Results
* energy relative to the lowest polymorph listed for this composition: 0.271 eV/atom
* formation energy without anion corrections: -0.40 eV/atom

Unit cell a=7.2357 b=6.8249 c=7.3986 alpha=90.00 beta=120.72 gamma=90.00
With the nearest neighbours (Å) after each atom.
Fractional coordinates of all 12 atoms:
Nb 0.2092 0.0129 0.1911  3 Br 2.61-2.81, 3 Te 2.74-2.87, 1 Nb 2.91
Nb 0.2092 0.4871 0.6911  3 Br 2.61-2.81, 3 Te 2.74-2.87, 1 Nb 2.91
Nb 0.7908 0.5129 0.3089  3 Br 2.61-2.81, 3 Te 2.74-2.87, 1 Nb 2.91
Nb 0.7908 0.9871 0.8089  3 Br 2.61-2.81, 3 Te 2.74-2.87, 1 Nb 2.91
Te 0.3700 0.1597 0.6051  3 Nb 2.74-2.87
Te 0.3700 0.3403 0.1051  3 Nb 2.74-2.87
Te 0.6300 0.6597 0.8949  3 Nb 2.74-2.87
Te 0.6300 0.8403 0.3949  3 Nb 2.74-2.87
Br 0.1399 0.6589 0.3426  3 Nb 2.61-2.81
Br 0.1399 0.8411 0.8426  3 Nb 2.61-2.81
Br 0.8601 0.1589 0.1574  3 Nb 2.61-2.81
Br 0.8601 0.3411 0.6574  3 Nb 2.61-2.81

***

No. 11
Below is a relaxed structure of La3HoCd, with properties calculated at the GGA-PBE level.

Results
* energy relative to the lowest polymorph listed for this composition: 0.089 eV/atom
* energy of formation: -0.010 eV per atom

Unit cell a=3.8917 b=10.8842 c=8.2730 alpha=90.00 beta=90.06 gamma=90.00
With the nearest neighbours (Å) after each atom.
Fractional coordinates of all 10 atoms:
La 0.2495 0.2500 0.4489  1 Ho 3.24, 2 Cd 3.29-3.30
La 0.2498 0.5012 0.7569  2 Cd 3.36, 3 Ho 3.67-3.70, 3 La 3.74-3.75
La 0.2498 0.9988 0.7569  2 Cd 3.36, 3 Ho 3.67-3.70, 3 La 3.74-3.75
La 0.7502 0.0012 0.2431  2 Cd 3.36, 3 Ho 3.67-3.70, 3 La 3.74-3.75
La 0.7502 0.4988 0.2431  2 Cd 3.36, 3 Ho 3.67-3.70, 3 La 3.74-3.75
La 0.7505 0.7500 0.5511  1 Ho 3.24, 2 Cd 3.29-3.30
Ho 0.2502 0.2500 0.0575  2 Cd 3.07, 1 La 3.24
Ho 0.7498 0.7500 0.9425  2 Cd 3.07, 1 La 3.24
Cd 0.2503 0.7500 0.2299  2 Ho 3.07, 6 La 3.29-3.36
Cd 0.7497 0.2500 0.7701  2 Ho 3.07, 6 La 3.29-3.36

***

No. 12
Below is a relaxed structure of CdGaSn4, with properties calculated at the GGA-PBE level.

Results
* energy relative to the lowest polymorph listed for this composition: 0.140 eV/atom
* energy of formation: 0.208 eV per atom

Unit cell a=6.2156 b=6.2156 c=6.2156 alpha=60.00 beta=60.00 gamma=60.00
With the nearest neighbours (Å) after each atom.
Fractional coordinates of all 6 atoms:
Cd 0.0000 0.0000 0.0000  12 Sn 3.64, 4 Ga 3.81
Ga 0.7500 0.7500 0.7500  12 Sn 3.64, 4 Cd 3.81
Sn 0.3752 0.3752 0.3752  6 Sn 3.10-3.11
Sn 0.3752 0.3752 0.8744  6 Sn 3.10-3.11
Sn 0.3752 0.8744 0.3752  6 Sn 3.10-3.11
Sn 0.8744 0.3752 0.3752  6 Sn 3.10-3.11

***

Total DFT energy (no corrections)? In order: -30.57 -42.60 -8.08 -20.07 -21.47 -64.29 -5.54 -43.41 -34.68 -64.35 -40.65 -18.71 eV per cell.